1.
# SrMnCd2

Crystalline SrMnCd2 at its relaxed geometry (PBE-GGA, Alexandria).

Values from the calculation:
**Fermi-level density of states**: 2.99 states/eV/cell
**Calculated total energy**: -3.08 eV per atom
**Volume**: 28.0 Å³ per atom
**Formation energy from the elements**: 0.09 eV/atom
**Calculated density**: 5.441 g/cm3

extended XYZ file:
```
4
Lattice="4.167 -2.406 0.000 4.167 2.406 0.000 -2.784 0.000 5.591" Properties=species:S:1:pos:R:3 pbc="T T T"
Sr 0.000 0.000 0.000
Mn -0.003 0.000 3.296
Cd 2.775 0.000 3.183
Cd 5.553 0.000 2.244
```


2.
# SrMn3Cd

Crystalline SrMn3Cd at its relaxed geometry (PBE-GGA, Alexandria).

Values from the calculation:
**Fermi-level density of states**: 2.72 states/eV/cell
**Calculated total energy**: -4.16 eV per atom
**Offset from the most stable computed form**: 967 meV/atom
**Volume**: 29.7 Å³ per atom
**Formation energy from the elements**: 1.86 eV/atom
**Calculated density**: 4.086 g/cm3

extended XYZ file:
```
5
Lattice="5.293 0.000 0.000 0.000 5.293 0.000 0.000 0.000 5.293" Properties=species:S:1:pos:R:3 pbc="T T T"
Sr 0.000 0.000 0.000
Mn 0.000 0.000 2.646
Mn 0.000 2.646 0.000
Mn 2.646 0.000 0.000
Cd 2.646 2.646 2.646
```


3.
# SrMnCd2

Crystalline SrMnCd2 at its relaxed geometry (PBE-GGA, Alexandria).

Values from the calculation:
**Fermi-level density of states**: 8.61 states/eV/cell
**Calculated total energy**: -2.85 eV per atom
**Volume**: 31.7 Å³ per atom
**Formation energy from the elements**: 0.32 eV/atom
**Calculated density**: 4.815 g/cm3

extended XYZ file:
```
8
Lattice="-2.556 2.556 9.695 2.556 -2.556 9.695 2.556 2.556 -9.695" Properties=species:S:1:pos:R:3 pbc="T T T"
Sr 0.000 0.000 0.000
Sr 0.000 2.556 4.848
Mn 2.556 0.000 4.848
Mn 0.000 0.000 9.695
Cd 1.278 -0.586 7.271
Cd 1.970 1.278 2.424
Cd 1.278 3.142 -2.424
Cd 0.586 1.278 12.119
```


4.
# SrMnCd2

Crystalline SrMnCd2 at its relaxed geometry (PBE-GGA, Alexandria).

Values from the calculation:
**Fermi-level density of states**: 3.31 states/eV/cell
**Calculated total energy**: -3.00 eV per atom
**Volume**: 25.9 Å³ per atom
**Formation energy from the elements**: 0.17 eV/atom
**Calculated density**: 5.893 g/cm3

extended XYZ file:
```
4
Lattice="3.584 0.000 0.000 0.000 3.885 0.000 0.000 0.000 7.435" Properties=species:S:1:pos:R:3 pbc="T T T"
Sr 0.000 0.000 0.000
Mn 1.792 1.942 5.154
Cd 0.000 0.000 3.969
Cd 1.792 1.942 2.229
```


5.
# SrMnCd2

Crystalline SrMnCd2 at its relaxed geometry (PBE-GGA, Alexandria).

Values from the calculation:
**Fermi-level density of states**: 3.32 states/eV/cell
**Calculated total energy**: -2.98 eV per atom
**Volume**: 26.0 Å³ per atom
**Formation energy from the elements**: 0.19 eV/atom
**Calculated density**: 5.856 g/cm3

extended XYZ file:
```
4
Lattice="4.732 0.000 0.000 0.000 4.732 0.000 0.000 0.000 4.653" Properties=species:S:1:pos:R:3 pbc="T T T"
Sr 0.000 0.000 0.000
Mn 2.366 2.366 0.000
Cd 0.000 2.366 2.326
Cd 2.366 0.000 2.326
```


6.
# SrMnCd4

Crystalline SrMnCd4 at its relaxed geometry (PBE-GGA, Alexandria).

Values from the calculation:
**Fermi-level density of states**: 2.32 states/eV/cell
**Calculated total energy**: -2.36 eV per atom
**Volume**: 24.2 Å³ per atom
**Formation energy from the elements**: 0.06 eV/atom
**Calculated density**: 6.768 g/cm3

extended XYZ file:
```
6
Lattice="0.000 4.173 4.173 4.173 0.000 4.173 4.173 4.173 0.000" Properties=species:S:1:pos:R:3 pbc="T T T"
Sr 0.000 0.000 0.000
Mn 2.086 2.086 2.086
Cd 5.210 3.135 3.135
Cd 3.135 5.210 3.135
Cd 3.135 3.135 5.210
Cd 5.210 5.210 5.210
```